Below is a relaxed IrRu crystal, with properties calculated at the PBEsol level.

The structure in extended XYZ format:
```
4
Lattice="-1.898 1.898 3.794 1.898 -1.898 3.794 1.898 1.898 -3.794" Properties=species:S:1:pos:R:3 pbc="T T T"
Ir 1.898 0.949 0.948
Ir 0.000 0.949 2.845
Ru 1.898 -0.949 2.845
Ru 0.000 2.847 0.948
```

## Properties
- V (A^3/atom) = 13.7
- total magnetic moment (μB/f.u.) = 0.0
- calculated formation energy (meV per atom) = -23
- energy above the lowest structure with this stoichiometry (eV per atom) = 0.027
- N(E_F) (states/eV per cell) = 3.45